FeAgAu2 after structural relaxation. Source: the Alexandria database, functional GGA-PBEsol.

Properties
offset from the most stable computed form	0.00	eV/f.u.
energy relative to the elements	147.8	meV per atom
total magnetic moment	3.05	μB per formula unit
mass density	14.82	g cm⁻³

Lattice parameters (Å, degrees): 2.7824 4.8750 4.8770 99.32 106.57 90.00
Element x y z (fractional)
Au1 0.2433 0.7322 0.4867
Au2 0.9999 0.0081 0.9999
Fe1 0.5015 0.5106 0.0030
Ag1 0.7552 0.2491 0.5104